1.
# Tb5Dy3Tl | the Alexandria database | PBE-GGA | relaxed
# * ρ: 8.1 Mg/m³
# * volume: 606 Å³/cell
# * energy of formation: 465 meV per atom
data_Tb5Dy3Tl
_space_group_name_H-M_alt 'P 1'
_space_group_IT_number 1
_cell_length_a 7.714
_cell_length_b 7.714
_cell_length_c 13.705
_cell_angle_alpha 62.82
_cell_angle_beta 62.82
_cell_angle_gamma 61.31
loop_
_space_group_symop_operation_xyz
'x,y,z'
loop_
_atom_site_label
_atom_site_type_symbol
_atom_site_fract_x
_atom_site_fract_y
_atom_site_fract_z
Tb1 Tb 0.472 0.472 0.614
Tb2 Tb 0.671 0.329 0.000
Tb3 Tb 0.451 0.988 0.240
Tb4 Tb 0.988 0.451 0.240
Tb5 Tb 0.012 0.549 0.760
Tb6 Tb 0.528 0.528 0.386
Tb7 Tb 0.329 0.671 0.000
Tb8 Tb 0.730 0.730 0.026
Tb9 Tb 0.270 0.270 0.974
Tb10 Tb 0.549 0.012 0.760
Dy1 Dy 0.424 0.424 0.248
Dy2 Dy 0.000 0.000 0.000
Dy3 Dy 0.236 0.236 0.553
Dy4 Dy 0.000 0.000 0.500
Dy5 Dy 0.764 0.764 0.447
Dy6 Dy 0.576 0.576 0.752
Tl1 Tl 0.980 0.980 0.772
Tl2 Tl 0.020 0.020 0.228

---

2.
# TbDy6Tl6 | the Alexandria database | PBE-GGA | relaxed
# * ρ: 10.4 Mg/m³
# * volume: 378 Å³/cell
# * energy of formation: -178 meV per atom
data_TbDy6Tl6
_space_group_name_H-M_alt 'P 1'
_space_group_IT_number 1
_cell_length_a 6.432
_cell_length_b 6.432
_cell_length_c 10.549
_cell_angle_alpha 90.00
_cell_angle_beta 90.00
_cell_angle_gamma 120.00
loop_
_space_group_symop_operation_xyz
'x,y,z'
loop_
_atom_site_label
_atom_site_type_symbol
_atom_site_fract_x
_atom_site_fract_y
_atom_site_fract_z
Dy1 Dy 0.667 0.333 0.500
Dy2 Dy 0.000 0.000 0.664
Dy3 Dy 0.667 0.333 0.000
Dy4 Dy 0.333 0.667 0.500
Dy5 Dy 0.333 0.667 0.000
Dy6 Dy 0.000 0.000 0.336
Tl1 Tl 0.000 0.500 0.754
Tl2 Tl 0.500 0.000 0.246
Tl3 Tl 0.500 0.500 0.754
Tl4 Tl 0.500 0.500 0.246
Tl5 Tl 0.500 0.000 0.754
Tl6 Tl 0.000 0.500 0.246
Tb1 Tb 0.000 0.000 0.000